Ce5Er3S8 | Alexandria via LeMat-Bulk | PBE | relaxed; formation energy (no corrections) = -2.021 eV/atom; V = 352 Å³ per cell; DOS(E_F) = 24.0 states/eV/f.u.; M_tot = 0.17 μB per atom
1.0
3.9506 2.2809 6.5081
-3.9506 2.2809 6.5081
0.0000 -4.5618 6.5081
Ce Er S
5 3 8
Cartesian
0.0000 0.0000 0.0000 Ce
-1.9753 -1.1405 6.5081 Ce
-1.9753 1.1405 13.0161 Ce
0.0000 2.2809 6.5081 Ce
0.0000 0.0000 9.7621 Ce
-3.9506 0.0000 9.7621 Er
-1.9753 1.1405 3.2540 Er
1.9753 1.1405 3.2540 Er
-2.0169 -1.1644 11.3192 S
0.0000 0.0000 4.7828 S
0.0000 -2.3289 8.2050 S
-2.0169 1.1644 8.2050 S
2.0169 -1.1644 11.3193 S
0.0000 2.3289 11.3193 S
0.0000 0.0000 14.7414 S
2.0169 1.1644 8.2050 S